Below is Tm3Ga5Se12 after structural relaxation, with properties calculated at the GGA-PBE level.

Summary:
Space group: No. 230
Formation energy (no corrections): -0.972 eV/atom
E_tot: -4.4903 eV per atom

Cell: 13.6952 13.6952 13.6952 Å, 109.47 109.47 109.47°
With the nearest neighbours (Å) after each atom.
Atoms (fractional coordinates):
Tm: 0.3750 0.6250 0.2500  8 Se 2.99-3.04
Tm: 0.7500 0.8750 0.6250  8 Se 2.99-3.04
Tm: 0.2500 0.6250 0.8750  8 Se 2.99-3.04
Tm: 0.7500 0.3750 0.1250  8 Se 2.99-3.04
Tm: 0.8750 0.1250 0.2500  8 Se 2.99-3.04
Tm: 0.1250 0.8750 0.7500  8 Se 2.99-3.04
Tm: 0.3750 0.7500 0.6250  8 Se 2.99-3.04
Tm: 0.1250 0.2500 0.8750  8 Se 2.99-3.04
Tm: 0.6250 0.3750 0.7500  8 Se 2.99-3.04
Tm: 0.8750 0.7500 0.1250  8 Se 2.99-3.04
Tm: 0.6250 0.2500 0.3750  8 Se 2.99-3.04
Tm: 0.2500 0.1250 0.3750  8 Se 2.99-3.04
Ga: 0.2500 0.8750 0.1250  4 Se 2.43
Ga: 0.0000 0.0000 0.0000  6 Se 2.61
Ga: 0.1250 0.3750 0.2500  4 Se 2.43
Ga: 0.3750 0.1250 0.7500  4 Se 2.43
Ga: 0.5000 0.0000 0.0000  6 Se 2.61
Ga: 0.6250 0.8750 0.2500  4 Se 2.43
Ga: 0.1250 0.7500 0.3750  4 Se 2.43
Ga: 0.8750 0.2500 0.6250  4 Se 2.43
Ga: 0.5000 0.5000 0.5000  6 Se 2.61
Ga: 0.5000 0.0000 0.5000  6 Se 2.61
Ga: 0.5000 0.5000 0.0000  6 Se 2.61
Ga: 0.2500 0.3750 0.6250  4 Se 2.43
Ga: 0.8750 0.6250 0.7500  4 Se 2.43
Ga: 0.0000 0.5000 0.5000  6 Se 2.61
Ga: 0.6250 0.7500 0.8750  4 Se 2.43
Ga: 0.7500 0.6250 0.3750  4 Se 2.43
Ga: 0.7500 0.1250 0.8750  4 Se 2.43
Ga: 0.3750 0.2500 0.1250  4 Se 2.43
Ga: 0.0000 0.5000 0.0000  6 Se 2.61
Ga: 0.0000 0.0000 0.5000  6 Se 2.61
Se: 0.9098 0.8244 0.5368  2 Ga 2.43-2.61
Se: 0.0368 0.4098 0.8244  2 Ga 2.43-2.61
Se: 0.2876 0.4146 0.8244  2 Ga 2.43-2.61
Se: 0.1756 0.0902 0.9632  2 Ga 2.43-2.61
Se: 0.7876 0.3244 0.9146  2 Ga 2.43-2.61
Se: 0.3244 0.7876 0.4146  2 Ga 2.43-2.61
Se: 0.9632 0.5902 0.1756  2 Ga 2.43-2.61
Se: 0.0902 0.1756 0.4632  2 Ga 2.43-2.61
Se: 0.7124 0.5854 0.1756  2 Ga 2.43-2.61
Se: 0.0854 0.1756 0.2124  2 Ga 2.43-2.61
Se: 0.2124 0.6756 0.0854  2 Ga 2.43-2.61
Se: 0.8244 0.9098 0.0368  2 Ga 2.43-2.61
Se: 0.5902 0.6270 0.4146  2 Ga 2.43-2.61
Se: 0.4632 0.7876 0.8730  2 Ga 2.43-2.61
Se: 0.4146 0.1270 0.5902  2 Ga 2.43-2.61
Se: 0.0368 0.6270 0.7124  2 Ga 2.43-2.61
Se: 0.6756 0.2124 0.5854  2 Ga 2.43-2.61
Se: 0.6270 0.5902 0.9146  2 Ga 2.43-2.61
Se: 0.2876 0.8730 0.9632  2 Ga 2.43-2.61
Se: 0.3244 0.5368 0.4098  2 Ga 2.43-2.61
Se: 0.4146 0.2876 0.3244  2 Ga 2.43-2.61
Se: 0.0854 0.9098 0.3730  2 Ga 2.43-2.61
Se: 0.8244 0.9146 0.2876  2 Ga 2.43-2.61
Se: 0.3730 0.9632 0.7876  2 Ga 2.43-2.61
Se: 0.9098 0.0854 0.8730  2 Ga 2.43-2.61
Se: 0.9146 0.8244 0.7876  2 Ga 2.43-2.61
Se: 0.3730 0.4098 0.0854  2 Ga 2.43-2.61
Se: 0.8730 0.5854 0.9098  2 Ga 2.43-2.61
Se: 0.4632 0.6756 0.0902  2 Ga 2.43-2.61
Se: 0.5368 0.3244 0.9098  2 Ga 2.43-2.61
Se: 0.1756 0.0854 0.7124  2 Ga 2.43-2.61
Se: 0.1270 0.4146 0.0902  2 Ga 2.43-2.61
Se: 0.0902 0.9146 0.1270  2 Ga 2.43-2.61
Se: 0.6756 0.4632 0.5902  2 Ga 2.43-2.61
Se: 0.5368 0.2124 0.1270  2 Ga 2.43-2.61
Se: 0.4098 0.3730 0.5854  2 Ga 2.43-2.61
Se: 0.5902 0.9632 0.6756  2 Ga 2.43-2.61
Se: 0.9146 0.0902 0.6270  2 Ga 2.43-2.61
Se: 0.5854 0.8730 0.4098  2 Ga 2.43-2.61
Se: 0.9632 0.3730 0.2876  2 Ga 2.43-2.61
Se: 0.2124 0.5368 0.6270  2 Ga 2.43-2.61
Se: 0.6270 0.0368 0.2124  2 Ga 2.43-2.61
Se: 0.7124 0.1270 0.0368  2 Ga 2.43-2.61
Se: 0.4098 0.0368 0.3244  2 Ga 2.43-2.61
Se: 0.5854 0.7124 0.6756  2 Ga 2.43-2.61
Se: 0.1270 0.7124 0.5368  2 Ga 2.43-2.61
Se: 0.7876 0.4632 0.3730  2 Ga 2.43-2.61
Se: 0.8730 0.2876 0.4632  2 Ga 2.43-2.61

Below is Sr2CaMgS after structural relaxation, with properties calculated at the GGA-PBE level.

Summary:
Space group: No. 123
Formation energy (no corrections): -0.755 eV/atom
E_tot: -2.9727 eV per atom

Cell: 5.8763 5.8763 5.3985 Å, 90.00 90.00 90.00°
With the nearest neighbours (Å) after each atom.
Atoms (fractional coordinates):
Sr: 0.5000 0.0000 0.0000  2 S 2.94
Sr: 0.0000 0.5000 0.0000  2 S 2.94
Ca: 0.0000 0.0000 0.5000  2 S 2.70
Mg: 0.5000 0.5000 0.5000  8 Sr 3.99, 4 Ca 4.16
S: 0.0000 0.0000 0.0000  2 Ca 2.70, 4 Sr 2.94

Below is Li2MoWN4 after structural relaxation, with properties calculated at the GGA-PBE level.

Summary:
Space group: No. 10
Formation energy (no corrections): -0.492 eV/atom
E_tot: -8.1059 eV per atom

Cell: 2.9715 5.1399 5.4770 Å, 108.65 90.00 90.00°
With the nearest neighbours (Å) after each atom.
Atoms (fractional coordinates):
N: 0.0000 0.2535 0.7701  1 W 2.08, 2 Mo 2.09, 3 Li 2.20-2.23
N: 0.5000 0.2390 0.2304  2 W 2.08, 1 Mo 2.12, 3 Li 2.20-2.22
N: 0.0000 0.7465 0.2299  1 W 2.08, 2 Mo 2.09, 3 Li 2.20-2.23
N: 0.5000 0.7610 0.7696  2 W 2.08, 1 Mo 2.12, 3 Li 2.20-2.22
Li: 0.0000 0.5000 0.5000  6 N 2.22-2.23
Li: 0.5000 0.0000 0.5000  6 N 2.20
Mo: 0.5000 0.5000 0.0000  6 N 2.09-2.12
W: 0.0000 0.0000 0.0000  6 N 2.08

Below is Ba2Ag after structural relaxation, with properties calculated at the GGA-PBE level.

Summary:
Calculated formation energy: -0.51 eV/f.u.
Space group: No. 62
E above lowest polymorph: 0.9 kJ/mol of atoms
E_tot: -2.4011 eV per atom

Cell: 4.6957 9.4568 12.1307 Å, 90.00 90.00 90.00°
With the nearest neighbours (Å) after each atom.
Atoms (fractional coordinates):
Ag: 0.7500 0.7075 0.8340  8 Ba 3.48-3.89
Ag: 0.2500 0.2925 0.1660  8 Ba 3.48-3.89
Ag: 0.7500 0.2075 0.6660  8 Ba 3.48-3.89
Ag: 0.2500 0.7925 0.3340  8 Ba 3.48-3.89
Ba: 0.2500 0.6728 0.0442  4 Ag 3.48-3.89
Ba: 0.7500 0.8272 0.5442  4 Ag 3.48-3.89
Ba: 0.7500 0.0038 0.1904  4 Ag 3.54-3.61
Ba: 0.2500 0.4962 0.6904  4 Ag 3.54-3.61
Ba: 0.2500 0.1728 0.4558  4 Ag 3.48-3.89
Ba: 0.7500 0.3272 0.9558  4 Ag 3.48-3.89
Ba: 0.2500 0.9962 0.8096  4 Ag 3.54-3.61
Ba: 0.7500 0.5038 0.3096  4 Ag 3.54-3.61

Below is PrSmYTh after structural relaxation, with properties calculated at the GGA-PBE level.

Summary:
Calculated formation energy: 0.11 eV/f.u.
Space group: No. 8
E above lowest polymorph: 0.0 kJ/mol of atoms
E_tot: -5.8191 eV per atom

Cell: 3.6412 3.6405 11.9208 Å, 90.00 98.82 119.99°
With the nearest neighbours (Å) after each atom.
Atoms (fractional coordinates):
Sm: 0.4727 0.1342 0.6211  3 Th 3.55, 3 Y 3.61, 6 Sm 3.64
Pr: 0.1336 0.9649 0.1125  3 Th 3.58-3.59, 6 Pr 3.64, 3 Y 3.69
Y: 0.9715 0.3840 0.3712  3 Sm 3.61, 6 Y 3.64, 3 Pr 3.69
Th: 0.3001 0.5478 0.8649  3 Sm 3.55, 3 Pr 3.58-3.59, 6 Th 3.64

Below is RbMgP2I after structural relaxation, with properties calculated at the GGA-PBE level.

Summary:
Space group: No. 123
Formation energy (no corrections): 1.324 eV/atom
E_tot: -1.6619 eV per atom

Cell: 6.3787 6.3787 7.7327 Å, 90.00 90.00 90.00°
With the nearest neighbours (Å) after each atom.
Atoms (fractional coordinates):
Mg: 0.0000 0.0000 0.5000  2 Rb 3.87
Rb: 0.0000 0.0000 0.0000  4 P 3.19
P: 0.0000 0.5000 0.0000  2 Rb 3.19
P: 0.5000 0.0000 0.0000  2 Rb 3.19
I: 0.5000 0.5000 0.5000  4 Mg 4.51, 8 P 5.01

Below is PrHo2Ni6 after structural relaxation, with properties calculated at the GGA-PBE level.

Summary:
Calculated formation energy: -3.22 eV/f.u.
Space group: No. 191
E_tot: -5.7598 eV per atom

Cell: 3.7606 6.9768 6.9768 Å, 120.00 90.00 90.00°
With the nearest neighbours (Å) after each atom.
Atoms (fractional coordinates):
Ni: 0.5000 0.0000 0.3360  3 Ni 2.29-2.34
Ni: 0.5000 0.3360 0.3360  3 Ni 2.29-2.34
Ni: 0.5000 0.6640 0.0000  3 Ni 2.29-2.34
Ni: 0.5000 0.0000 0.6640  3 Ni 2.29-2.34
Ni: 0.5000 0.6640 0.6640  3 Ni 2.29-2.34
Ni: 0.5000 0.3360 0.0000  3 Ni 2.29-2.34
Ho: 0.0000 0.6667 0.3333  12 Ni 2.98
Ho: 0.0000 0.3333 0.6667  12 Ni 2.98
Pr: 0.0000 0.0000 0.0000  12 Ni 3.01

Below is Pt2PbBr after structural relaxation, with properties calculated at the GGA-PBE level.

Summary:
Space group: No. 122
E above lowest polymorph: 34.3 kJ/mol of atoms
Formation energy (no corrections): 0.379 eV/atom
E_tot: -3.9863 eV per atom

Cell: 6.8654 6.8654 6.4407 Å, 57.79 57.79 90.00°
With the nearest neighbours (Å) after each atom.
Atoms (fractional coordinates):
Br: 0.2500 0.7500 0.5000  4 Pt 2.59
Br: 0.5000 0.5000 0.0000  4 Pt 2.59
Pt: 0.3750 0.3874 0.7500  2 Br 2.59, 2 Pb 2.70
Pt: 0.8750 0.8626 0.7500  2 Br 2.59, 2 Pb 2.70
Pt: 0.6126 0.1250 0.2500  2 Br 2.59, 2 Pb 2.70
Pt: 0.1374 0.6250 0.2500  2 Br 2.59, 2 Pb 2.70
Pb: 0.7500 0.2500 0.5000  4 Pt 2.70
Pb: 0.0000 0.0000 0.0000  4 Pt 2.70